Entry 1:
MgZr2Sc (PBE, optimized geometry); volume = 23.02 Å³/atom; ΔH_f (0 K) = 87.7 meV/atom; uncorrected energy = -6.17 eV/atom; total magnetization = 0.0 μB per formula unit
1.0
5.440 0.000 0.000
0.000 3.027 0.023
0.000 0.546 5.595
Mg Sc Zr
1 1 2
direct
0.500 0.250 0.250
0.500 0.750 0.750
0.000 0.038 0.006
0.000 0.462 0.494


Entry 2:
MgZr4Sc5 (PBE, optimized geometry); volume = 23.52 Å³/atom; ΔH_f (0 K) = -10.9 meV/atom; uncorrected energy = -6.76 eV/atom; total magnetization = 0.0 μB per formula unit
1.0
-1.093 -2.985 0.479
2.822 -1.190 -0.979
7.687 0.620 21.410
Mg Zr Sc
1 4 5
direct
0.000 0.000 0.000
0.000 0.000 0.197
0.000 0.000 0.400
0.000 0.000 0.600
0.000 0.000 0.803
0.500 0.500 0.102
0.500 0.500 0.301
0.500 0.500 0.500
0.500 0.500 0.699
0.500 0.500 0.898


Entry 3:
MgZr2Sc (PBE, optimized geometry); volume = 22.68 Å³/atom; ΔH_f (0 K) = 120.2 meV/atom; uncorrected energy = -6.14 eV/atom; total magnetization = 0.0 μB per formula unit
1.0
5.216 0.000 0.000
0.000 5.216 0.000
0.000 0.000 3.334
Mg Sc Zr
1 1 2
direct
0.500 0.000 0.500
0.000 0.500 0.500
0.000 0.000 0.000
0.500 0.500 0.000


Entry 4:
Mg2ZrSc (PBE, optimized geometry); volume = 22.65 Å³/atom; ΔH_f (0 K) = 36.5 meV/atom; uncorrected energy = -4.48 eV/atom; total magnetization = 0.0 μB per formula unit
1.0
5.496 0.403 -0.483
-2.251 5.030 -0.483
0.244 0.409 3.101
Mg Sc Zr
2 1 1
direct
0.000 0.000 0.000
0.500 0.500 0.000
0.500 0.000 0.500
0.000 0.500 0.500


Entry 5:
Mg2Zr3Sc6 (PBE, optimized geometry); volume = 25.04 Å³/atom; ΔH_f (0 K) = 81.3 meV/atom; uncorrected energy = -5.99 eV/atom; total magnetization = 0.0 μB per formula unit
1.0
-2.983 -5.344 3.842
-0.482 -7.197 0.435
7.656 -3.168 4.220
Mg Zr Sc
2 3 6
direct
0.169 0.669 0.500
0.831 0.331 0.500
0.000 0.000 0.000
0.332 0.336 0.996
0.668 0.664 0.004
0.419 0.668 0.750
0.748 0.999 0.749
0.084 0.332 0.752
0.252 0.001 0.251
0.581 0.332 0.250
0.916 0.668 0.248


Entry 6:
MgZr6Sc (PBE, optimized geometry); volume = 23.22 Å³/atom; ΔH_f (0 K) = 24.9 meV/atom; uncorrected energy = -7.38 eV/atom; total magnetization = 0.0 μB per formula unit
1.0
5.124 0.000 0.000
0.000 5.734 -2.994
0.000 -0.267 6.463
Mg Zr Sc
1 6 1
direct
0.500 0.667 0.333
0.500 0.659 0.826
0.500 0.174 0.341
0.500 0.170 0.830
0.000 0.836 0.670
0.000 0.330 0.164
0.000 0.333 0.667
0.000 0.832 0.168